(1)
Compound: Na4H5Rh
Source: Alexandria
Functional: PBE
Structure: relaxed

```
Na4H5Rh
1.0
-3.355 3.355 3.476
3.355 -3.355 3.476
3.355 3.355 -3.476
Na H Rh
4 5 1
Cartesian
1.667 1.647 0.000
1.708 -1.688 3.476
1.647 5.042 0.000
1.688 1.708 3.476
1.694 -0.002 1.704
5.016 0.002 1.704
0.002 1.694 1.704
0.000 0.000 3.595
-0.002 5.016 1.704
0.000 0.000 1.830
```

Results
- E_tot: -3.19 eV/atom
- Energy relative to the lowest polymorph listed for this composition: 0 meV/atom
- Magnetization: 0.0 μB per formula unit

(2)
Compound: NaH3Rh
Source: Alexandria
Functional: PBE
Structure: relaxed

```
NaH3Rh
1.0
1.512 -6.342 0.000
1.512 6.342 0.000
0.000 0.000 5.293
Na H Rh
2 6 2
Cartesian
1.512 4.736 3.970
1.512 -4.736 1.323
0.971 3.897 1.323
2.053 3.897 1.323
1.512 0.000 0.000
1.512 0.000 2.646
0.971 -3.897 3.970
2.053 -3.897 3.970
1.512 1.110 3.970
1.512 -1.110 1.323
```

Results
- E_tot: -3.70 eV/atom
- Energy relative to the lowest polymorph listed for this composition: 320 meV/atom
- Magnetization: 0.0 μB per formula unit

(3)
Compound: NaH3Rh
Source: Alexandria
Functional: PBE
Structure: relaxed

```
NaH3Rh
1.0
5.546 0.000 0.000
0.000 5.345 0.000
-0.598 0.000 6.170
Na H Rh
4 12 4
Cartesian
0.479 0.978 1.425
0.180 1.695 4.510
4.768 3.650 1.659
4.469 4.367 4.744
0.851 3.255 0.056
0.552 4.762 3.141
1.097 0.305 5.974
1.396 2.368 2.889
2.263 2.754 5.171
2.562 5.263 2.087
2.387 0.082 4.083
2.686 2.591 0.998
3.553 2.977 3.280
3.852 5.040 0.195
4.397 0.583 3.029
4.098 2.090 6.114
1.972 3.987 3.132
2.271 4.030 0.047
2.678 1.314 6.122
2.977 1.358 3.037
```

Results
- E_tot: -3.88 eV/atom
- Energy relative to the lowest polymorph listed for this composition: 141 meV/atom
- Magnetization: 0.0 μB per formula unit

(4)
Compound: NaH4Rh2
Source: Alexandria
Functional: PBE
Structure: relaxed

```
NaH4Rh2
1.0
-2.804 2.804 4.168
2.804 -2.804 4.168
2.804 2.804 -4.168
Na H Rh
2 8 4
Cartesian
0.000 1.402 1.042
2.804 1.402 3.126
1.275 0.465 -0.656
1.867 0.127 1.428
1.528 -0.465 3.512
1.867 2.930 -1.428
0.937 -0.127 5.596
1.275 3.268 0.656
0.937 2.677 2.740
1.528 2.339 4.824
1.402 1.402 -2.084
1.402 -1.402 2.084
2.804 0.000 0.000
0.000 0.000 4.168
```

Results
- E_tot: -4.35 eV/atom
- Energy relative to the lowest polymorph listed for this composition: 43 meV/atom
- Magnetization: 0.0 μB per formula unit

(5)
Compound: NaH4Rh2
Source: Alexandria
Functional: PBE
Structure: relaxed

```
NaH4Rh2
1.0
0.000 4.048 4.048
4.048 0.000 4.048
4.048 4.048 0.000
Na H Rh
2 8 4
Cartesian
1.012 1.012 1.012
7.084 7.084 7.084
2.245 2.245 2.245
3.827 3.827 2.245
3.827 2.245 3.827
5.851 4.269 4.269
2.245 3.827 3.827
4.269 5.851 4.269
4.269 4.269 5.851
5.851 5.851 5.851
4.048 2.024 2.024
2.024 4.048 2.024
2.024 2.024 4.048
4.048 4.048 4.048
```

Results
- E_tot: -4.39 eV/atom
- Energy relative to the lowest polymorph listed for this composition: 0 meV/atom
- Magnetization: 0.0 μB per formula unit

(6)
Compound: NaHRh
Source: Alexandria
Functional: PBE
Structure: relaxed

```
NaHRh
1.0
3.932 0.000 0.000
0.000 3.932 0.000
0.000 0.000 4.763
Na H Rh
2 2 2
Cartesian
0.983 0.983 4.761
2.949 2.949 0.002
0.983 0.983 2.378
2.949 2.949 2.385
0.983 2.949 2.381
2.949 0.983 2.381
```

Results
- E_tot: -4.01 eV/atom
- Energy relative to the lowest polymorph listed for this composition: 64 meV/atom
- Magnetization: 0.2 μB per formula unit

Look up the E_tot of the third one.
-3.88 eV/atom